# CaHfPS2 (GGA-PBE, relaxed)
# energy relative to the elements, uncorrected	433.4	meV/atom
data_CaHfPS2
_chemical_formula_sum 'Ca1 Hf1 P1 S2'
_space_group_name_H-M_alt 'P 4/m m m'
_space_group_IT_number 123
_space_group_name_Hall '-P 4 2'
_cell_length_a 4.920
_cell_length_b 4.920
_cell_length_c 5.021
_cell_angle_alpha 90.00
_cell_angle_beta 90.00
_cell_angle_gamma 90.00
loop_
_atom_site_label
_atom_site_type_symbol
_atom_site_fract_x
_atom_site_fract_y
_atom_site_fract_z
_atom_site_occupancy
Ca1 Ca 0.000 0.000 0.000 1
Hf1 Hf 0.500 0.500 0.500 1
P1 P 0.000 0.000 0.500 1
S1 S 0.000 0.500 0.000 1

---

# CaHfPS2 (GGA-PBE, relaxed)
# energy relative to the elements, uncorrected	-1054.5	meV/atom
data_CaHfPS2
_chemical_formula_sum 'Ca1 Hf1 P1 S2'
_space_group_name_H-M_alt 'P 4/m m m'
_space_group_IT_number 123
_space_group_name_Hall '-P 4 2'
_cell_length_a 4.930
_cell_length_b 4.930
_cell_length_c 5.026
_cell_angle_alpha 90.00
_cell_angle_beta 90.00
_cell_angle_gamma 90.00
loop_
_atom_site_label
_atom_site_type_symbol
_atom_site_fract_x
_atom_site_fract_y
_atom_site_fract_z
_atom_site_occupancy
Ca1 Ca 0.000 0.000 0.000 1
Hf1 Hf 0.500 0.500 0.500 1
P1 P 0.500 0.500 0.000 1
S1 S 0.000 0.500 0.500 1

---

# CaHfP2S (GGA-PBE, relaxed)
# energy relative to the elements, uncorrected	-674.1	meV/atom
data_CaHfP2S
_chemical_formula_sum 'Ca1 Hf1 P2 S1'
_space_group_name_H-M_alt 'P 4/m m m'
_space_group_IT_number 123
_space_group_name_Hall '-P 4 2'
_cell_length_a 4.993
_cell_length_b 4.993
_cell_length_c 4.934
_cell_angle_alpha 90.00
_cell_angle_beta 90.00
_cell_angle_gamma 90.00
loop_
_atom_site_label
_atom_site_type_symbol
_atom_site_fract_x
_atom_site_fract_y
_atom_site_fract_z
_atom_site_occupancy
Ca1 Ca 0.000 0.000 0.000 1
Hf1 Hf 0.500 0.500 0.500 1
P1 P 0.000 0.500 0.500 1
S1 S 0.500 0.500 0.000 1

---

# CaHfP2S (GGA-PBE, relaxed)
# energy relative to the elements, uncorrected	753.8	meV/atom
data_CaHfP2S
_chemical_formula_sum 'Ca1 Hf1 P2 S1'
_space_group_name_H-M_alt 'P 4/m m m'
_space_group_IT_number 123
_space_group_name_Hall '-P 4 2'
_cell_length_a 4.935
_cell_length_b 4.935
_cell_length_c 4.924
_cell_angle_alpha 90.00
_cell_angle_beta 90.00
_cell_angle_gamma 90.00
loop_
_atom_site_label
_atom_site_type_symbol
_atom_site_fract_x
_atom_site_fract_y
_atom_site_fract_z
_atom_site_occupancy
Ca1 Ca 0.000 0.000 0.000 1
Hf1 Hf 0.500 0.500 0.500 1
P1 P 0.000 0.500 0.000 1
S1 S 0.000 0.000 0.500 1

---

Ca2HfScP4: relaxed, GGA-PBE.

Structure (CIF):
```
data_Ca2HfScP4
_chemical_formula_sum 'Ca2 Hf1 Sc1 P4'
_space_group_name_H-M_alt 'P 1 2/m 1'
_space_group_IT_number 10
_space_group_name_Hall '-P 2y'
_cell_length_a 6.684
_cell_length_b 3.850
_cell_length_c 6.970
_cell_angle_alpha 90.00
_cell_angle_beta 108.56
_cell_angle_gamma 90.00
loop_
_atom_site_label
_atom_site_type_symbol
_atom_site_fract_x
_atom_site_fract_y
_atom_site_fract_z
_atom_site_occupancy
Ca1 Ca 0.000 0.000 0.000 1
Ca2 Ca 0.500 0.500 0.000 1
Hf1 Hf 0.000 0.500 0.500 1
Sc1 Sc 0.500 0.000 0.500 1
P1 P 0.237 0.000 0.721 1
P2 P 0.256 0.500 0.279 1
```

---

CaSm2HfP4: relaxed, GGA-PBE.

Structure (CIF):
```
data_CaSm2HfP4
_chemical_formula_sum 'Ca1 Sm2 Hf1 P4'
_space_group_name_H-M_alt 'P 1 2/m 1'
_space_group_IT_number 10
_space_group_name_Hall '-P 2y'
_cell_length_a 6.863
_cell_length_b 3.988
_cell_length_c 6.966
_cell_angle_alpha 90.00
_cell_angle_beta 109.12
_cell_angle_gamma 90.00
loop_
_atom_site_label
_atom_site_type_symbol
_atom_site_fract_x
_atom_site_fract_y
_atom_site_fract_z
_atom_site_occupancy
Ca1 Ca 0.000 0.000 0.000 1
Sm1 Sm 0.500 0.000 0.500 1
Sm2 Sm 0.500 0.500 0.000 1
Hf1 Hf 0.000 0.500 0.500 1
P1 P 0.231 0.000 0.732 1
P2 P 0.239 0.500 0.262 1
```

---

Ca2HfTiP4: relaxed, GGA-PBE.

Structure (CIF):
```
data_Ca2HfTiP4
_chemical_formula_sum 'Ca2 Hf1 Ti1 P4'
_space_group_name_H-M_alt 'P 1 2/m 1'
_space_group_IT_number 10
_space_group_name_Hall '-P 2y'
_cell_length_a 6.511
_cell_length_b 3.774
_cell_length_c 6.916
_cell_angle_alpha 90.00
_cell_angle_beta 108.34
_cell_angle_gamma 90.00
loop_
_atom_site_label
_atom_site_type_symbol
_atom_site_fract_x
_atom_site_fract_y
_atom_site_fract_z
_atom_site_occupancy
Ca1 Ca 0.000 0.000 0.000 1
Ca2 Ca 0.500 0.500 0.000 1
Hf1 Hf 0.000 0.500 0.500 1
Ti1 Ti 0.500 0.000 0.500 1
P1 P 0.247 0.000 0.719 1
P2 P 0.269 0.500 0.286 1
```

---

CaTm2HfP4: relaxed, GGA-PBE.

Structure (CIF):
```
data_CaTm2HfP4
_chemical_formula_sum 'Ca1 Tm2 Hf1 P4'
_space_group_name_H-M_alt 'P 1 2/m 1'
_space_group_IT_number 10
_space_group_name_Hall '-P 2y'
_cell_length_a 6.734
_cell_length_b 3.903
_cell_length_c 6.817
_cell_angle_alpha 90.00
_cell_angle_beta 109.03
_cell_angle_gamma 90.00
loop_
_atom_site_label
_atom_site_type_symbol
_atom_site_fract_x
_atom_site_fract_y
_atom_site_fract_z
_atom_site_occupancy
Ca1 Ca 0.000 0.000 0.000 1
Tm1 Tm 0.500 0.000 0.500 1
Tm2 Tm 0.500 0.500 0.000 1
Hf1 Hf 0.000 0.500 0.500 1
P1 P 0.241 0.000 0.736 1
P2 P 0.249 0.500 0.264 1
```

---

Calculated total energy, -23.45, -30.89, -30.27, -23.13, -51.62, -53.87, -52.75, -53.59 eV per cell (same order as the records).